# 1
Here is crystalline YErCo at its relaxed geometry from Alexandria via LeMat-Bulk. Energies are from PBE.

## Properties
The value obtained for the calculated formation energy is -37 kJ/mol of formula units. The calculation puts the polymorph energy (0 for the lowest one) at 22 meV per atom. The raw total energy is -37.0 eV for the cell shown. Its space group is C2/m, No. 12.

Geometry as CIF:
```
data_YErCo
_space_group_name_H-M_alt 'P 1'
_space_group_IT_number 1
_space_group_name_Hall 'P 1'
_cell_length_a 6.719
_cell_length_b 6.719
_cell_length_c 6.722
_cell_angle_alpha 104.50
_cell_angle_beta 104.50
_cell_angle_gamma 28.94
loop_
_atom_site_label
_atom_site_type_symbol
_atom_site_fract_x
_atom_site_fract_y
_atom_site_fract_z
Y1 Y 0.129 0.129 0.065
Y2 Y 0.871 0.871 0.935
Er1 Er 0.128 0.128 0.564
Er2 Er 0.872 0.872 0.436
Co1 Co 0.500 0.500 0.256
Co2 Co 0.500 0.500 0.744
```

=====

# 2
Here is crystalline Bi3Pd at its relaxed geometry from Alexandria via LeMat-Bulk. Energies are from PBE.

## Properties
The value obtained for the calculated formation energy is -25 kJ/mol of formula units. The calculation puts the polymorph energy (0 for the lowest one) at 63 meV per atom. The raw total energy is -17.1 eV for the cell shown. Its space group is Pmm2, No. 25.

Geometry as CIF:
```
data_Bi3Pd
_space_group_name_H-M_alt 'P 1'
_space_group_IT_number 1
_space_group_name_Hall 'P 1'
_cell_length_a 3.385
_cell_length_b 3.434
_cell_length_c 9.716
_cell_angle_alpha 90.00
_cell_angle_beta 90.00
_cell_angle_gamma 90.00
loop_
_atom_site_label
_atom_site_type_symbol
_atom_site_fract_x
_atom_site_fract_y
_atom_site_fract_z
Bi1 Bi 0.000 0.000 0.000
Bi2 Bi 0.000 0.500 0.313
Bi3 Bi 0.500 0.500 0.710
Pd1 Pd 0.500 0.000 0.479
```

=====

# 3
Here is crystalline CuAgI2O at its relaxed geometry from Alexandria via LeMat-Bulk. Energies are from PBE.

## Properties
The calculation puts the polymorph energy (0 for the lowest one) at 0 meV per atom. The raw total energy is -14.6 eV for the cell shown. Its space group is P4/mmm, No. 123. As for the raw formation energy: 0.071 eV/atom.

Geometry as CIF:
```
data_CuAgI2O
_space_group_name_H-M_alt 'P 1'
_space_group_IT_number 1
_space_group_name_Hall 'P 1'
_cell_length_a 5.869
_cell_length_b 5.869
_cell_length_c 3.527
_cell_angle_alpha 90.00
_cell_angle_beta 90.00
_cell_angle_gamma 90.00
loop_
_atom_site_label
_atom_site_type_symbol
_atom_site_fract_x
_atom_site_fract_y
_atom_site_fract_z
Cu1 Cu 0.000 0.000 0.000
Ag1 Ag 0.500 0.500 0.500
I1 I 0.000 0.500 0.000
I2 I 0.500 0.000 0.000
O1 O 0.000 0.000 0.500
```